(1)
9
Lattice="2.8591 -0.5707 -1.1427 -0.0796 7.8852 -4.1374 -3.8727 0.7559 11.0986" Properties=species:S:1:pos:R:3 comment="PBE-GGA Li2HoMg6, optimized geometry" spacegroup="C2/m, No. 12" crystal_system=monoclinic ef_mev_per_atom=5.3 dos_at_fermi_per_ev_cell=5.38 vol_a3_per_cell=214.7 pbc="T T T"
Li 0.8964 4.9414 -0.1832
Li -1.9897 3.1290 6.0017
Ho 0.0000 0.0000 0.0000
Mg -0.7495 5.2868 3.8363
Mg -0.3438 2.7836 1.9822
Mg -0.3957 7.9293 -0.7178
Mg 1.4031 2.3402 -1.9490
Mg 1.3765 4.9743 -3.3311
Mg -0.6975 0.1411 6.5363


(2)
9
Lattice="3.8538 0.0000 0.0000 0.0000 5.7035 0.0000 -1.9269 -2.8517 5.7824" Properties=species:S:1:pos:R:3 comment="PBE-GGA Na2AcPtO5, optimized geometry" spacegroup="Immm, No. 71" energy_ev_per_cell=-51.90 crystal_system=orthorhombic dos_at_fermi_per_ev_cell=5.89 vol_a3_per_cell=127.1 pbc="T T T"
Na 0.0000 0.0000 2.4918
Na 1.9269 2.8517 3.2906
Ac 0.0000 2.8517 0.0000
Pt 1.9269 0.0000 0.0000
O 1.9269 4.2187 1.3686
O 0.0000 -1.3670 4.4138
O 0.0000 1.3670 4.4138
O 1.9269 1.4848 1.3686
O 0.0000 0.0000 0.0000


(3)
4
Lattice="5.2951 0.0000 0.0000 2.6476 4.5857 0.0000 2.6476 1.5286 4.3235" Properties=species:S:1:pos:R:3 comment="PBE-GGA AcEuZnP, optimized geometry" spacegroup="F-43m, No. 216" crystal_system=cubic ef_mev_per_atom=-543.0 dos_at_fermi_per_ev_cell=4.24 vol_a3_per_cell=105.0 pbc="T T T"
Eu 7.9427 4.5857 3.2426
P 5.2951 3.0571 2.1617
Ac 2.6476 1.5286 1.0809
Zn 0.0000 0.0000 0.0000